Cs4PbI6: optimized geometry, PBE.

Output
DOS(E_F): 0.00 states/eV per cell
Space group: No. 167
Crystal system: trigonal
Uncorrected formation energy: -1.328 eV per atom

POSCAR file:
```
Cs4PbI6
1.0
10.6116 0.0064 0.0063
0.1498 10.6105 0.0063
0.1498 0.1478 10.6095
I Pb Cs
12 2 8
Cartesian
6.2344 4.7917 8.4387 I
3.2796 9.9881 0.7513 I
2.3258 4.6457 5.9433 I
9.9825 7.4974 0.6449 I
4.6767 5.9730 2.1834 I
10.0315 0.7932 3.1340 I
4.8755 8.5202 6.0561 I
7.6316 0.7766 9.8708 I
0.9286 3.2673 9.9772 I
6.0356 2.2445 4.5661 I
0.8796 9.9716 7.4881 I
8.5853 6.1190 4.6788 I
0.0000 0.0000 0.0000 Pb
5.4556 5.3824 5.3111 Pb
1.5489 8.0134 3.9294 Cs
8.0336 3.9483 1.3880 Cs
9.3623 2.7513 6.6927 Cs
2.8776 6.8165 9.2342 Cs
8.1834 8.0735 7.9666 Cs
6.8547 9.2705 2.6618 Cs
2.7278 2.6912 2.6555 Cs
4.0565 1.4942 7.9603 Cs
```

***

ZrIr2Rh: optimized geometry, PBE.

Output
DOS(E_F): 3.74 states/eV per cell
Space group: No. 25
Crystal system: orthorhombic
Energy of formation: -460 meV/atom

POSCAR file:
```
ZrIr2Rh
1.0
4.5018 0.0000 0.0000
0.0000 2.9104 0.0018
0.0000 -0.0036 4.8555
Ir Rh Zr
2 1 1
Cartesian
0.0000 2.5460 0.3184 Ir
2.2509 1.0909 0.9279 Ir
0.0000 1.0893 2.6444 Rh
2.2509 2.5443 3.3973 Zr
```

***

Sr4LiAc3S8: optimized geometry, PBE.

Output
DOS(E_F): 5.14 states/eV per cell
Space group: No. 166
Crystal system: trigonal
Uncorrected formation energy: -1.997 eV per atom

POSCAR file:
```
Sr4LiAc3S8
1.0
-3.7253 -1.5565 -7.4928
2.4649 -8.1784 0.4734
-4.4973 3.4415 6.3553
Sr S Ac Li
4 8 3 1
Cartesian
-2.2486 1.7208 3.1776 Sr
0.0000 0.0000 0.0000 Sr
-4.1113 0.9425 -0.5688 Sr
-1.8627 -0.7782 -3.7464 Sr
-1.3104 -4.7913 1.6468 S
-2.5580 -0.6922 1.4156 S
-5.4533 -3.8411 1.0731 S
-2.1818 -3.2367 -5.5132 S
-0.3045 -2.4523 -1.7373 S
-3.1998 -5.6012 -2.0798 S
-3.5759 -3.0567 4.8490 S
-4.4473 -1.5021 -2.3110 S
-0.6302 -4.8675 -3.5097 Ac
-2.8789 -3.1467 -0.3321 Ac
-1.0162 -2.3685 3.4143 Ac
1.2324 -4.0892 0.2367 Li
```

***

Th4CS3: optimized geometry, PBE.

Output
DOS(E_F): 4.58 states/eV per cell
Space group: No. 65
Crystal system: orthorhombic
Uncorrected formation energy: -1.505 eV per atom
Distance to the lowest polymorph of the same formula: 0.0 kJ/mol of formula units

POSCAR file:
```
Th4CS3
1.0
-1.5905 3.2745 1.5257
-5.9253 -1.3111 -3.3631
-0.2448 -3.0259 6.2389
Th S C
4 3 1
Cartesian
-4.7837 -3.3624 2.2295 Th
-2.3859 -0.9824 4.7268 Th
-1.3865 -0.9746 0.6462 Th
-5.3748 -0.0802 -0.3254 Th
-0.1224 -1.5129 3.1194 S
-2.9627 -0.6556 -1.6816 S
-3.8803 -0.5313 2.2007 S
-0.7953 1.6372 0.7629 C
```

***

Ac2TmPt: optimized geometry, PBE.

Output
DOS(E_F): 4.46 states/eV per cell
Space group: No. 166
Crystal system: trigonal
Distance to the lowest polymorph of the same formula: 255.8 kJ/mol of formula units
Energy of formation: 228 meV/atom

POSCAR file:
```
Ac2TmPt
1.0
-0.6496 -3.6823 0.5752
-0.1209 -2.3809 -2.9375
11.0660 -3.8588 0.2359
Tm Pt Ac
1 1 2
Cartesian
5.1477 -4.9609 -1.0632 Tm
0.0000 0.0000 0.0000 Pt
1.9311 -6.5016 -2.1181 Ac
8.3643 -3.4203 -0.0083 Ac
```

***

Er8Cd2Bi: optimized geometry, PBE.

Output
DOS(E_F): 14.22 states/eV per cell
Space group: No. 12
Crystal system: monoclinic
Energy of formation: -94 meV/atom

POSCAR file:
```
Er8Cd2Bi
1.0
-5.1176 2.3071 -0.1814
-1.3403 -7.0792 -4.2231
1.1206 -0.6395 8.2511
Cd Er Bi
2 8 1
Cartesian
-0.5892 -5.1138 -0.4159 Cd
0.3695 -2.6049 4.4440 Cd
-4.4061 -3.3387 4.4754 Er
-0.3622 -0.5839 2.2556 Er
-3.6778 -1.4918 1.4956 Er
-4.9751 -4.8277 1.5910 Er
-0.9312 -2.0729 -0.6288 Er
-1.6595 -3.9198 2.3510 Er
-3.3355 -4.4509 -1.4570 Er
-2.0018 -0.9607 5.3037 Er
-2.5588 1.1535 -0.0907 Bi
```

***

Sequential total magnetic moment output: 0.00 0.00 0.00 0.00 0.00 0.03 μB/f.u.